1.
A geometry-optimized Zn4AgIr structure. Source: Alexandria via LeMat-Bulk, functional GGA-PBE.

Computed properties:
Volume in Å³/f.u.: 87.58
DFT formation energy in meV/atom: 22
Energy relative to the lowest polymorph listed for this composition in meV per atom: 118
Energy in eV/atom: -2.779

Lattice parameters (Å, degrees): 4.985 4.985 4.985 60.00 60.00 60.00
Positions (direct):
Zn: 0.125 0.125 0.125
Zn: 0.125 0.125 0.624
Zn: 0.125 0.624 0.125
Zn: 0.624 0.125 0.125
Ag: 0.750 0.750 0.750
Ir: 0.500 0.500 0.500

---

2.
A geometry-optimized ZnAg2Ir structure. Source: Alexandria via LeMat-Bulk, functional GGA-PBE.

Computed properties:
Volume in Å³/f.u.: 63.95
DFT formation energy in meV/atom: 86
Energy in eV/atom: -3.874

Lattice parameters (Å, degrees): 2.881 2.881 7.707 90.00 90.00 90.00
Positions (direct):
Zn: 0.000 0.000 0.000
Ag: 0.000 0.000 0.526
Ag: 0.500 0.500 0.250
Ir: 0.500 0.500 0.789

---

3.
A geometry-optimized ZnAg2Ir structure. Source: Alexandria via LeMat-Bulk, functional GGA-PBE.

Computed properties:
Volume in Å³/f.u.: 64.41
DFT formation energy in meV/atom: 111
Energy in eV/atom: -3.848

Lattice parameters (Å, degrees): 2.785 2.785 9.314 90.00 90.00 116.91
Positions (direct):
Zn: 0.000 0.000 0.000
Ag: 0.000 0.000 0.512
Ag: 0.500 0.500 0.245
Ir: 0.500 0.500 0.774

---

4.
A geometry-optimized Zn4AgIr structure. Source: Alexandria via LeMat-Bulk, functional GGA-PBE.

Computed properties:
Volume in Å³/f.u.: 89.79
DFT formation energy in meV/atom: -95
Energy relative to the lowest polymorph listed for this composition in meV per atom: 0
Energy in eV/atom: -2.897

Lattice parameters (Å, degrees): 4.851 4.851 7.213 111.77 111.77 35.05
Positions (direct):
Zn: 0.164 0.164 0.345
Zn: 0.167 0.167 0.819
Zn: 0.833 0.833 0.181
Zn: 0.836 0.836 0.655
Ag: 0.500 0.500 0.000
Ir: 0.500 0.500 0.500

---

5.
A geometry-optimized ZnAg2Ir structure. Source: Alexandria via LeMat-Bulk, functional GGA-PBE.

Computed properties:
Volume in Å³/f.u.: 63.85
DFT formation energy in meV/atom: 188
Energy in eV/atom: -3.771

Lattice parameters (Å, degrees): 4.688 4.688 4.688 126.87 126.87 78.47
Positions (direct):
Zn: 0.000 0.000 0.000
Ag: 0.250 0.750 0.500
Ag: 0.500 0.500 0.000
Ir: 0.750 0.250 0.500

---

6.
A geometry-optimized ZnAg2Ir structure. Source: Alexandria via LeMat-Bulk, functional GGA-PBE.

Computed properties:
Volume in Å³/f.u.: 64.44
DFT formation energy in meV/atom: 130
Energy in eV/atom: -3.829

Lattice parameters (Å, degrees): 2.865 3.781 5.950 90.00 90.26 90.00
Positions (direct):
Zn: 0.000 0.000 0.000
Ag: 0.002 0.000 0.464
Ag: 0.503 0.500 0.726
Ir: 0.500 0.500 0.197

---

7.
A geometry-optimized ZnAg2Ir structure. Source: Alexandria via LeMat-Bulk, functional GGA-PBE.

Computed properties:
Volume in Å³/f.u.: 63.61
DFT formation energy in meV/atom: 165
Energy in eV/atom: -3.795

Lattice parameters (Å, degrees): 5.465 5.465 5.465 148.83 130.60 59.57
Positions (direct):
Zn: 0.000 0.000 0.000
Ag: 0.240 0.740 0.500
Ag: 0.760 0.260 0.500
Ir: 0.500 0.500 0.000

---

8.
A geometry-optimized ZnAg2Ir structure. Source: Alexandria via LeMat-Bulk, functional GGA-PBE.

Computed properties:
Volume in Å³/f.u.: 64.08
DFT formation energy in meV/atom: 170
Energy in eV/atom: -3.789

Lattice parameters (Å, degrees): 4.908 4.908 4.840 104.24 104.24 34.66
Positions (direct):
Zn: 0.000 0.000 0.000
Ag: 0.505 0.505 0.523
Ag: 0.746 0.746 0.299
Ir: 0.263 0.263 0.817

---

9.
A geometry-optimized ZnAg2Ir structure. Source: Alexandria via LeMat-Bulk, functional GGA-PBE.

Computed properties:
Volume in Å³/f.u.: 69.25
DFT formation energy in meV/atom: 418
Energy in eV/atom: -3.541

Lattice parameters (Å, degrees): 10.160 10.160 10.160 158.68 158.68 30.32
Positions (direct):
Zn: 0.000 0.000 0.000
Zn: 0.750 0.250 0.500
Ag: 0.125 0.625 0.000
Ag: 0.375 0.375 0.500
Ag: 0.625 0.125 0.000
Ag: 0.875 0.875 0.500
Ir: 0.250 0.750 0.500
Ir: 0.500 0.500 0.000

---

10.
A geometry-optimized ZnAg2Ir structure. Source: Alexandria via LeMat-Bulk, functional GGA-PBE.

Computed properties:
Volume in Å³/f.u.: 64.22
DFT formation energy in meV/atom: 233
Energy in eV/atom: -3.726

Lattice parameters (Å, degrees): 5.039 5.039 5.039 134.43 134.43 66.41
Positions (direct):
Zn: 0.000 0.000 0.000
Ag: 0.250 0.750 0.500
Ag: 0.750 0.250 0.500
Ir: 0.500 0.500 0.000

---

11.
A geometry-optimized Zn9AgIr2 structure. Source: Alexandria via LeMat-Bulk, functional GGA-PBE.

Computed properties:
Volume in Å³/f.u.: 175.04
DFT formation energy in meV/atom: -132
Energy in eV/atom: -2.802

Lattice parameters (Å, degrees): 3.871 3.871 11.682 90.00 90.00 90.00
Positions (direct):
Zn: 0.000 0.000 0.000
Zn: 0.000 0.000 0.337
Zn: 0.000 0.000 0.663
Zn: 0.000 0.500 0.177
Zn: 0.000 0.500 0.500
Zn: 0.000 0.500 0.823
Zn: 0.500 0.000 0.177
Zn: 0.500 0.000 0.500
Zn: 0.500 0.000 0.823
Ag: 0.500 0.500 0.000
Ir: 0.500 0.500 0.339
Ir: 0.500 0.500 0.661

---

12.
A geometry-optimized ZnAg2Ir structure. Source: Alexandria via LeMat-Bulk, functional GGA-PBE.

Computed properties:
Volume in Å³/f.u.: 63.81
DFT formation energy in meV/atom: 83
Energy in eV/atom: -3.877

Lattice parameters (Å, degrees): 9.259 9.259 9.259 17.67 17.67 17.67
Positions (direct):
Zn: 0.000 0.000 0.000
Ag: 0.504 0.504 0.504
Ag: 0.748 0.748 0.748
Ir: 0.258 0.258 0.258